# 1
VASP calculation (PBE) on a relaxed structure of BaErTl.

Calculated values
final energy = -2.430 eV per atom
SG = F-43m
calculated density = 7.19 Mg/m³
spin magnetization = 0.001 μB/cell

a b c (Å): 5.498 5.498 5.498
angles (deg): 60.00 60.00 60.00
Element x y z (fractional)
Ba (0.000, 0.000, 0.000)
Er (0.750, 0.750, 0.750)
Tl (0.250, 0.250, 0.250)

***

# 2
VASP calculation (PBE) on a relaxed structure of PrGa2Hg.

Calculated values
final energy = -3.239 eV per atom
SG = Cmcm
calculated density = 8.77 Mg/m³
spin magnetization = 0.000 μB/cell

a b c (Å): 6.634 6.634 4.705
angles (deg): 90.00 90.00 118.41
Element x y z (fractional)
Pr (0.161, 0.839, 0.750)
Pr (0.839, 0.161, 0.250)
Ga (0.197, 0.347, 0.750)
Ga (0.347, 0.197, 0.250)
Ga (0.653, 0.803, 0.750)
Ga (0.803, 0.653, 0.250)
Hg (0.348, 0.652, 0.250)
Hg (0.652, 0.348, 0.750)

***

# 3
VASP calculation (PBE) on a relaxed structure of KNbO3.

Calculated values
final energy = -7.646 eV per atom
SG = R-3
calculated density = 3.92 Mg/m³
spin magnetization = 0.000 μB/cell

a b c (Å): 6.641 6.641 6.641
angles (deg): 48.90 48.90 48.90
Element x y z (fractional)
K (0.138, 0.138, 0.138)
K (0.862, 0.862, 0.862)
Nb (0.346, 0.346, 0.346)
Nb (0.654, 0.654, 0.654)
O (0.059, 0.650, 0.493)
O (0.350, 0.507, 0.941)
O (0.493, 0.059, 0.650)
O (0.507, 0.941, 0.350)
O (0.650, 0.493, 0.059)
O (0.941, 0.350, 0.507)

***

# 4
VASP calculation (PBE) on a relaxed structure of SrErAgS3.

Calculated values
final energy = -5.190 eV per atom
SG = C2/m
calculated density = 5.48 Mg/m³
spin magnetization = 0.009 μB/cell

a b c (Å): 8.848 8.848 8.366
angles (deg): 102.99 102.99 25.86
Element x y z (fractional)
Sr (0.133, 0.133, 0.071)
Sr (0.867, 0.867, 0.929)
Er (0.165, 0.165, 0.587)
Er (0.835, 0.835, 0.413)
Ag (0.478, 0.478, 0.288)
Ag (0.522, 0.522, 0.712)
S (0.000, 0.000, 0.500)
S (0.319, 0.319, 0.182)
S (0.327, 0.327, 0.636)
S (0.500, 0.500, 0.000)
S (0.673, 0.673, 0.364)
S (0.681, 0.681, 0.818)